1.
## Cs3AgTe (PBE)

Data for a geometry-optimized Cs3AgTe structure.

POSCAR file:
```
Cs3AgTe
1.0
7.318 0.000 0.000
0.000 7.318 0.000
0.000 0.000 7.318
Cs Ag Te
3 1 1
Direct
0.000 0.000 0.500
0.500 0.000 0.000
0.000 0.500 0.000
0.500 0.500 0.500
0.000 0.000 0.000
```

SG = No. 221
formation energy without anion corrections = -0.44 eV/atom
E above lowest polymorph = 0.146 eV per atom

***

2.
## SrTlTc (PBE)

Data for a geometry-optimized SrTlTc structure.

POSCAR file:
```
SrTlTc
1.0
-1.785 -5.280 -2.657
2.964 -3.527 -4.110
0.516 3.042 5.348
Sr Tl Tc
1 1 1
Direct
0.997 0.997 0.000
0.712 0.712 0.000
0.292 0.292 0.000
```

SG = No. 107
E above lowest polymorph = 0.000 eV per atom

***

3.
## Fe2CoPt (PBE)

Data for a geometry-optimized Fe2CoPt structure.

POSCAR file:
```
Fe2CoPt
1.0
2.794 0.000 0.000
0.000 2.794 0.000
0.000 0.000 6.529
Pt Co Fe
1 1 2
Direct
0.000 0.000 0.501
0.500 0.500 0.780
0.000 0.000 0.990
0.500 0.500 0.229
```

SG = No. 99
final energy = -7.59 eV per atom

***

4.
## SmZn3Cd (PBE)

Data for a geometry-optimized SmZn3Cd structure.

POSCAR file:
```
SmZn3Cd
1.0
6.000 0.000 0.420
0.000 6.370 0.000
0.644 0.000 5.350
Sm Cd Zn
2 2 6
Direct
0.715 0.750 0.346
0.285 0.250 0.654
0.406 0.750 0.901
0.594 0.250 0.099
0.123 0.047 0.185
0.877 0.547 0.815
0.123 0.453 0.185
0.877 0.953 0.815
0.201 0.750 0.490
0.799 0.250 0.510
```

SG = No. 11
final energy = -2.10 eV per atom

***

5.
## Ti2TeC (PBE)

Data for a geometry-optimized Ti2TeC structure.

POSCAR file:
```
Ti2TeC
1.0
-1.880 -2.034 1.870
-1.452 -2.675 -1.382
3.970 -5.024 1.512
Ti Te C
2 1 1
Direct
0.055 0.055 0.835
0.276 0.276 0.171
0.500 0.500 0.499
0.668 0.668 0.995
```

SG = No. 160
formation energy without anion corrections = -0.70 eV/atom

***

6.
## HoSi4Tc4 (PBE)

Data for a geometry-optimized HoSi4Tc4 structure.

POSCAR file:
```
HoSi4Tc4
1.0
4.708 0.000 0.000
0.000 8.038 0.000
0.000 0.000 8.038
Si Tc Ho
8 8 2
Direct
0.087 0.812 0.661
0.087 0.188 0.339
0.587 0.839 0.312
0.413 0.688 0.839
0.413 0.312 0.161
0.913 0.661 0.188
0.913 0.339 0.812
0.587 0.161 0.688
0.094 0.122 0.629
0.406 0.378 0.871
0.406 0.622 0.129
0.594 0.129 0.378
0.906 0.371 0.122
0.906 0.629 0.878
0.594 0.871 0.622
0.094 0.878 0.371
0.500 0.500 0.500
0.000 0.000 0.000
```

SG = No. 86
formation energy without anion corrections = -0.48 eV/atom

***

7.
## AcSmOsAu (PBE)

Data for a geometry-optimized AcSmOsAu structure.

POSCAR file:
```
AcSmOsAu
1.0
-1.292 1.438 4.832
-3.776 -2.521 2.543
1.180 -3.071 4.032
Ac Os Au Sm
1 1 1 1
Direct
0.500 0.500 0.500
0.750 0.750 0.750
0.250 0.250 0.250
0.000 0.000 0.000
```

SG = No. 216
final energy = -6.08 eV per atom

***

8.
## SrNCl2 (PBE)

Data for a geometry-optimized SrNCl2 structure.

POSCAR file:
```
SrNCl2
1.0
-2.653 -1.257 4.120
-2.755 -4.243 0.037
1.447 -3.930 2.838
Cl Sr N
2 1 1
Direct
0.750 0.750 0.750
0.250 0.250 0.250
0.000 0.000 0.000
0.500 0.500 0.500
```

SG = No. 225
formation energy without anion corrections = -0.54 eV/atom
E above lowest polymorph = 0.000 eV per atom